Entry 1:
Below is a relaxed TaRuW2 crystal, with properties calculated at the PBEsol level.

The space group is R3m (No. 160, hexagonal axes) and the conventional cell measures 2.7918, 2.7918 and 28.0463 Å, with angles of 90.00, 90.00 and 120.00 degrees. The distinct sites, in fractional coordinates, are Ta at (0.0000, 0.0000, 0.0000), Ru at (0.0000, 0.0000, 0.2511), W at (0.0000, 0.0000, 0.5088) and W at (0.0000, 0.0000, 0.7559).

The energy above the lowest structure with this stoichiometry is 0.0 meV per atom. The value obtained for the total energy is -12.3422 eV per atom. The calculation puts the formation energy at 242 meV per atom.

---

Entry 2:
Below is a relaxed MgZr2Re crystal, with properties calculated at the PBEsol level.

The space group is P4/mmm (No. 123) and the conventional cell measures 3.332, 3.332 and 7.039 Å, with angles of 90.00, 90.00 and 90.00 degrees. The distinct sites, in fractional coordinates, are Mg at (0.000, 0.000, 0.000), Zr at (0.500, 0.500, 0.280) and Re at (0.000, 0.000, 0.500).

The value obtained for the total energy is -8.4252 eV per atom. The calculation puts the formation energy at -118 meV per atom.